# PBE CaSiPt2, relaxed
# Formation energy from raw total energies   -238 kJ/mol of formula units
# Raw total energy   -0.2019 hartree per atom
# Total moment   0.000 μB per cell
data_CaSiPt2
_chemical_formula_sum 'Ca1 Si1 Pt2'
_symmetry_space_group_name_H-M 'P 1 2/m 1'
_symmetry_Int_Tables_number 10
_symmetry_space_group_name_Hall '-P 2y'
_cell_length_a 2.940
_cell_length_b 3.624
_cell_length_c 6.932
_cell_angle_alpha 90.00
_cell_angle_beta 99.83
_cell_angle_gamma 90.00
loop_
_atom_site_label
_atom_site_fract_x
_atom_site_fract_y
_atom_site_fract_z
_atom_site_occupancy
Ca1 0.000 0.000 0.000 1
Si1 0.000 0.000 0.500 1
Pt1 0.370 0.500 0.695 1

# PBE Ca2SiPt, relaxed
# Formation energy from raw total energies   -305 kJ/mol of formula units
# Raw total energy   -0.1711 hartree per atom
# Total moment   0.000 μB per cell
data_Ca2SiPt
_chemical_formula_sum 'Ca4 Si2 Pt2'
_symmetry_space_group_name_H-M 'A m m 2'
_symmetry_Int_Tables_number 38
_symmetry_space_group_name_Hall 'A 2 -2'
_cell_length_a 4.285
_cell_length_b 4.571
_cell_length_c 10.096
_cell_angle_alpha 90.00
_cell_angle_beta 90.00
_cell_angle_gamma 90.00
loop_
_atom_site_label
_atom_site_fract_x
_atom_site_fract_y
_atom_site_fract_z
_atom_site_occupancy
Ca1 0.000 0.000 0.000 1
Ca2 0.500 0.000 0.291 1
Si1 0.500 0.000 0.598 1
Pt1 0.000 0.000 0.700 1

# PBE Ca3Si2Pt, relaxed
# Formation energy from raw total energies   -367 kJ/mol of formula units
# Raw total energy   -0.1635 hartree per atom
# Total moment   0.000 μB per cell
data_Ca3Si2Pt
_chemical_formula_sum 'Ca12 Si8 Pt4'
_symmetry_space_group_name_H-M 'P 1 21/c 1'
_symmetry_Int_Tables_number 14
_symmetry_space_group_name_Hall '-P 2ybc'
_cell_length_a 7.106
_cell_length_b 8.912
_cell_length_c 10.674
_cell_angle_alpha 90.00
_cell_angle_beta 117.19
_cell_angle_gamma 90.00
loop_
_atom_site_label
_atom_site_fract_x
_atom_site_fract_y
_atom_site_fract_z
_atom_site_occupancy
Ca1 0.204 0.056 0.186 1
Ca2 0.244 0.634 0.007 1
Ca3 0.295 0.072 0.816 1
Si1 0.077 0.731 0.225 1
Si2 0.448 0.741 0.800 1
Pt1 0.227 0.201 0.495 1

# PBE CaSiPt2, relaxed
# Formation energy from raw total energies   -321 kJ/mol of formula units
# Raw total energy   -0.2097 hartree per atom
# Total moment   0.000 μB per cell
data_CaSiPt2
_chemical_formula_sum 'Ca3 Si3 Pt6'
_symmetry_space_group_name_H-M 'R -3 m'
_symmetry_Int_Tables_number 166
_symmetry_space_group_name_Hall '-R 3 2"'
_cell_length_a 4.2423
_cell_length_b 4.2423
_cell_length_c 15.3827
_cell_angle_alpha 90.00
_cell_angle_beta 90.00
_cell_angle_gamma 120.00
loop_
_atom_site_label
_atom_site_fract_x
_atom_site_fract_y
_atom_site_fract_z
_atom_site_occupancy
Ca1 0.0000 0.0000 0.0000 1
Si1 0.0000 0.0000 0.5000 1
Pt1 0.0000 0.0000 0.2040 1

# PBE CaSi2Pt4, relaxed
# Formation energy from raw total energies   -592 kJ/mol of formula units
# Raw total energy   -0.2265 hartree per atom
# Total moment   0.000 μB per cell
data_CaSi2Pt4
_chemical_formula_sum 'Ca2 Si4 Pt8'
_symmetry_space_group_name_H-M 'P 42/m n m'
_symmetry_Int_Tables_number 136
_symmetry_space_group_name_Hall '-P 4n 2n'
_cell_length_a 7.852
_cell_length_b 7.852
_cell_length_c 3.799
_cell_angle_alpha 90.00
_cell_angle_beta 90.00
_cell_angle_gamma 90.00
loop_
_atom_site_label
_atom_site_fract_x
_atom_site_fract_y
_atom_site_fract_z
_atom_site_occupancy
Ca1 0.000 0.000 0.000 1
Si1 0.231 0.231 0.500 1
Pt1 0.072 0.680 0.500 1

# PBE CaSiPt3, relaxed
# Formation energy from raw total energies   -268 kJ/mol of formula units
# Raw total energy   -0.2082 hartree per atom
# Total moment   0.000 μB per cell
data_CaSiPt3
_chemical_formula_sum 'Ca1 Si1 Pt3'
_symmetry_space_group_name_H-M 'P m -3 m'
_symmetry_Int_Tables_number 221
_symmetry_space_group_name_Hall '-P 4 2 3'
_cell_length_a 4.621
_cell_length_b 4.621
_cell_length_c 4.621
_cell_angle_alpha 90.00
_cell_angle_beta 90.00
_cell_angle_gamma 90.00
loop_
_atom_site_label
_atom_site_fract_x
_atom_site_fract_y
_atom_site_fract_z
_atom_site_occupancy
Ca1 0.000 0.000 0.000 1
Si1 0.500 0.500 0.500 1
Pt1 0.000 0.500 0.500 1

# PBE Ca2Si3Pt6, relaxed
# Formation energy from raw total energies   -936 kJ/mol of formula units
# Raw total energy   -0.2212 hartree per atom
# Total moment   0.000 μB per cell
data_Ca2Si3Pt6
_chemical_formula_sum 'Ca2 Si3 Pt6'
_symmetry_space_group_name_H-M 'P -6 2 m'
_symmetry_Int_Tables_number 189
_symmetry_space_group_name_Hall 'P -6 -2'
_cell_length_a 7.3570
_cell_length_b 7.3570
_cell_length_c 4.2077
_cell_angle_alpha 90.00
_cell_angle_beta 90.00
_cell_angle_gamma 120.00
loop_
_atom_site_label
_atom_site_fract_x
_atom_site_fract_y
_atom_site_fract_z
_atom_site_occupancy
Ca1 0.3333 0.6667 0.0000 1
Si1 0.0000 0.6302 0.5000 1
Pt1 0.0000 0.3115 0.5000 1
Pt2 0.0000 0.7830 0.0000 1

# PBE CaSiPt2, relaxed
# Formation energy from raw total energies   -246 kJ/mol of formula units
# Raw total energy   -0.2027 hartree per atom
# Total moment   0.000 μB per cell
data_CaSiPt2
_chemical_formula_sum 'Ca1 Si1 Pt2'
_symmetry_space_group_name_H-M 'P m m m'
_symmetry_Int_Tables_number 47
_symmetry_space_group_name_Hall '-P 2 2'
_cell_length_a 2.979
_cell_length_b 3.150
_cell_length_c 7.353
_cell_angle_alpha 90.00
_cell_angle_beta 90.00
_cell_angle_gamma 90.00
loop_
_atom_site_label
_atom_site_fract_x
_atom_site_fract_y
_atom_site_fract_z
_atom_site_occupancy
Ca1 0.000 0.000 0.000 1
Si1 0.000 0.000 0.500 1
Pt1 0.500 0.500 0.307 1